First-principles (PBE) data for a relaxed structure of Tl2AgGeBr6, as listed in OQMD via LeMat-Bulk.

Structure (POSCAR):
```
Tl2AgGeBr6
1.0
7.5003 0.0000 0.0000
0.0000 7.7411 0.0000
-7.4919 0.0000 10.8171
Ag Br Ge Tl
2 12 2 4
Cartesian
0.0000 0.0000 0.0000
-3.7459 3.8705 5.4086
5.2475 6.0954 0.3134
5.9157 2.3138 0.3660
3.2708 3.8678 2.6446
0.4836 7.7384 2.7640
-2.1613 6.1843 5.0426
-1.4932 2.2249 5.0952
1.5016 5.5162 5.7219
2.1698 1.5568 5.7745
-0.4752 0.0027 8.0531
-3.2623 3.8733 8.1726
-5.9073 5.4273 10.4512
-5.2391 1.6456 10.5038
3.7502 3.8705 0.0000
0.0042 0.0000 5.4086
3.9069 0.5746 2.6973
-0.1526 4.4452 2.7112
0.1610 3.2959 8.1059
-3.8985 7.1665 8.1198
```

## Properties
Space group: No. 14

---

First-principles (PBE) data for a relaxed structure of AgHBr, as listed in OQMD via LeMat-Bulk.

Structure (POSCAR):
```
AgHBr
1.0
-4.8166 -6.0424 1.2274
3.0900 -3.2987 -4.1136
4.9521 -0.0339 3.7470
Ag Br H
4 4 4
Cartesian
-0.0943 -5.5030 -2.4671
0.8432 -3.8545 1.4552
2.3823 -5.5205 -0.5944
3.3198 -3.8721 3.3279
0.9448 -3.2367 -1.2455
-1.7330 -4.4799 2.2799
4.9585 -4.8952 -1.4191
2.2807 -6.1384 2.1063
2.9057 -3.1115 -3.8472
-0.9889 -7.4927 1.2805
4.2144 -1.8823 -0.4197
0.3198 -6.2635 4.7080
```

## Properties
Space group: No. 14

---

First-principles (PBE) data for a relaxed structure of Ag2HgI3Br, as listed in OQMD via LeMat-Bulk.

Structure (POSCAR):
```
Ag2HgI3Br
1.0
4.4797 -4.4379 0.0000
4.4797 4.4379 0.0000
-0.1537 0.0000 6.4513
Ag Br Hg I
2 1 1 3
Cartesian
2.1717 -2.1903 3.2103
2.1717 2.1903 3.2103
2.2503 0.0000 1.5631
8.7979 0.0000 6.4382
6.5319 0.0000 1.4963
4.4097 -2.0203 4.9435
4.4097 2.0203 4.9435
```

## Properties
Space group: No. 8

---

First-principles (PBE) data for a relaxed structure of Ag2Hg7P8Br6, as listed in OQMD via LeMat-Bulk.

Structure (POSCAR):
```
Ag2Hg7P8Br6
1.0
-1.6031 0.0000 8.1229
6.5588 -5.5526 -0.0367
6.5588 5.5526 -0.0367
Ag Br Hg P
2 6 7 8
Cartesian
2.4778 -2.7763 4.0431
2.4778 2.7763 4.0431
3.1489 -3.2615 6.8820
3.7681 0.0000 4.3862
8.3656 -3.2615 1.1674
3.1489 3.2615 6.8820
7.7464 0.0000 3.6633
8.3656 3.2615 1.1674
0.0000 0.0000 0.0000
5.5379 -2.0326 1.8749
2.2070 0.0000 7.0081
5.9765 -2.0326 6.1746
5.5379 2.0326 1.8749
9.3075 0.0000 1.0414
5.9765 2.0326 6.1746
4.8181 -3.8095 3.4169
-0.0573 0.0000 6.0373
6.6963 -3.8095 4.6326
5.6271 0.0000 0.5153
5.8873 0.0000 7.5342
4.8181 3.8095 3.4169
11.5717 0.0000 2.0122
6.6963 3.8095 4.6326
```

## Properties
Space group: No. 12

---

First-principles (PBE) data for a relaxed structure of AgHgSBr, as listed in OQMD via LeMat-Bulk.

Structure (POSCAR):
```
AgHgSBr
1.0
7.1021 0.0000 0.0000
0.0000 7.6996 0.0000
0.0000 0.0000 8.4780
Ag Br Hg S
4 4 4 4
Cartesian
0.7437 2.4607 0.8171
6.3584 6.3105 3.4219
2.8074 5.2388 5.0561
4.2947 1.3891 7.6609
3.4938 2.9331 1.1952
3.6083 6.7829 3.0438
0.0572 4.7664 5.4342
7.0449 0.9166 7.2828
1.7827 5.9184 0.1142
5.3194 2.0686 4.1248
1.7683 1.7812 4.3532
5.3338 5.6310 8.3638
7.0962 4.8844 1.3129
0.0060 1.0346 2.9261
3.5570 2.8152 5.5519
3.5451 6.6649 7.1651
```

## Properties
Space group: No. 19

---

First-principles (PBE) data for a relaxed structure of Tl2AgHgBr6, as listed in OQMD via LeMat-Bulk.

Structure (POSCAR):
```
Tl2AgHgBr6
1.0
0.0000 5.4552 5.4552
5.4552 0.0000 5.4552
5.4552 5.4552 0.0000
Ag Br Hg Tl
1 6 1 2
Cartesian
0.0000 0.0000 0.0000
2.6952 5.4552 5.4552
5.4552 2.6952 5.4552
5.4552 5.4552 8.2153
5.4552 8.2153 5.4552
8.2153 5.4552 5.4552
5.4552 5.4552 2.6952
5.4552 5.4552 5.4552
2.7276 2.7276 2.7276
8.1829 8.1829 8.1829
```

## Properties
Space group: No. 225

---

First-principles (PBE) data for a relaxed structure of YAgHg2Br6, as listed in OQMD via LeMat-Bulk.

Structure (POSCAR):
```
YAgHg2Br6
1.0
-3.2468 -5.7235 -4.1917
-6.9974 1.0575 -3.2847
-0.6072 0.7003 -7.7467
Ag Br Hg Y
1 6 2 1
Cartesian
0.0000 0.0000 0.0000
-4.3334 -3.8582 -5.8971
-6.2136 -0.4587 -5.4424
-7.8413 -3.3280 -7.5438
-3.0101 -0.6377 -7.6793
-4.6378 -3.5071 -9.7808
-6.5180 -0.1076 -9.3261
-2.7129 -0.9914 -3.8058
-8.1386 -2.9743 -11.4174
-5.4257 -1.9829 -7.6116
```

## Properties
Space group: No. 225
Magnetic moment, μB per atom: 0.02

---

First-principles (PBE) data for a relaxed structure of AgIBr, as listed in OQMD via LeMat-Bulk.

Structure (POSCAR):
```
AgIBr
1.0
-0.9693 -2.4820 -3.6387
4.0242 -4.7137 2.3133
-7.4662 0.0293 4.4640
Ag Br I
2 2 2
Cartesian
-2.7586 -2.9358 -0.1089
-1.6527 -4.2306 3.2475
-0.9063 -4.8836 0.7018
-3.5050 -2.2828 2.4368
2.1701 -5.6165 0.5456
-6.5815 -1.5499 2.5930
```

## Properties
Space group: No. 2
E above lowest polymorph, eV per formula unit: 0.000

---

First-principles (PBE) data for a relaxed structure of AgIBr, as listed in OQMD via LeMat-Bulk.

Structure (POSCAR):
```
AgIBr
1.0
-4.5031 3.2322 4.5693
-0.6158 -3.4145 1.8085
7.6313 -0.2117 2.1990
Ag Br I
2 2 2
Cartesian
0.5935 -0.0715 2.1833
1.9188 -0.3224 6.3935
-0.7824 -0.9681 4.2545
3.2947 0.5742 4.3223
-3.0104 0.5623 6.3854
5.5227 -0.9563 2.1914
```

## Properties
Space group: No. 11
E above lowest polymorph, eV per formula unit: 0.133

---

First-principles (PBE) data for a relaxed structure of AgIBr6, as listed in OQMD via LeMat-Bulk.

Structure (POSCAR):
```
AgIBr6
1.0
0.0000 5.2732 5.2732
5.2732 0.0000 5.2732
5.2732 5.2732 0.0000
Ag Br I
1 6 1
Cartesian
5.2732 5.2732 5.2732
5.3130 7.9099 7.9099
7.9099 5.3130 7.9099
7.9099 7.9099 10.5067
7.9099 7.9099 5.3130
7.9099 10.5067 7.9099
10.5067 7.9099 7.9099
2.6366 2.6366 2.6366
```

## Properties
Space group: No. 216

---

First-principles (PBE) data for a relaxed structure of Ag2IBr3, as listed in OQMD via LeMat-Bulk.

Structure (POSCAR):
```
Ag2IBr3
1.0
7.0899 0.0000 0.0000
0.0000 3.8573 0.0000
-3.3572 0.0000 6.9894
Ag Br I
2 3 1
Cartesian
1.9284 1.9286 3.4985
-3.3548 0.0000 6.9843
1.8110 1.9286 0.0479
3.7092 0.0000 3.5422
1.9279 1.9286 6.9161
-0.0479 0.0000 3.4739
```

## Properties
Space group: No. 6

---

First-principles (PBE) data for a relaxed structure of AgIBr, as listed in OQMD via LeMat-Bulk.

Structure (POSCAR):
```
AgIBr
1.0
-0.5443 -1.5482 7.1466
-2.9722 -2.4870 -0.7651
4.8968 -4.5497 -4.2337
Ag Br I
2 2 2
Cartesian
0.0000 0.0000 0.0000
0.6902 -4.2924 1.0739
-1.5782 -1.6669 1.3518
2.9586 -6.9179 0.7959
2.3051 -2.6228 -0.4291
2.0474 -3.4750 3.3419
```

## Properties
Space group: No. 10
E above lowest polymorph, eV per formula unit: 0.167

---

no.,E (eV per atom)
1,-2.829
2,-2.832
3,-2.060
4,-2.868
5,-2.502
6,-2.279
7,-2.659
8,-2.241
9,-2.197
10,-1.643
11,-2.240
12,-2.185